TaInTeN2 | PBE-GGA | relaxed

The calculation puts the calculated density at 7.641 g/cm³. The total energy comes out at -6.698 eV/atom. The symmetry is P4/mmm, No. 123. The value obtained for the formation energy from raw total energies is 0.179 eV/atom. As for the total magnetization: 0.050 μB/atom.

Structure (POSCAR):
```
TaInTeN2
1.0
4.112 0.000 0.000
0.000 4.112 0.000
0.000 0.000 5.802
Te N In Ta
1 2 1 1
direct
0.000 0.000 0.500
0.000 0.500 0.000
0.500 0.000 0.000
0.500 0.500 0.500
0.000 0.000 0.000
```

***

TaInTeN2 | PBE-GGA | relaxed

The calculation puts the calculated density at 7.281 g/cm³. The total energy comes out at -5.074 eV/atom. The symmetry is P4/mmm, No. 123. The value obtained for the formation energy from raw total energies is 1.803 eV/atom. As for the total magnetization: 0.009 μB/atom.

Structure (POSCAR):
```
TaInTeN2
1.0
4.184 0.000 0.000
0.000 4.184 0.000
0.000 0.000 5.881
In N Ta Te
1 2 1 1
direct
0.000 0.000 0.000
0.500 0.000 0.000
0.000 0.500 0.000
0.500 0.500 0.500
0.000 0.000 0.500
```

***

TaInTe2N | PBE-GGA | relaxed

The calculation puts the calculated density at 7.264 g/cm³. The total energy comes out at -4.412 eV/atom. The symmetry is P4/mmm, No. 123. The value obtained for the formation energy from raw total energies is 1.428 eV/atom. As for the total magnetization: 0.443 μB/atom.

Structure (POSCAR):
```
TaInTe2N
1.0
-3.477 -3.627 2.641
3.352 0.121 4.580
-2.106 3.082 1.460
In Te Ta N
1 2 1 1
direct
0.000 0.000 0.000
0.000 0.500 0.000
0.500 0.000 0.000
0.500 0.500 0.500
0.000 0.000 0.500
```

***

TaZn2InN | PBE-GGA | relaxed

The calculation puts the calculated density at 6.176 g/cm³. The total energy comes out at -2.834 eV/atom. The symmetry is P4/mmm, No. 123. The value obtained for the formation energy from raw total energies is 2.259 eV/atom. As for the total magnetization: 0.000 μB/atom.

Structure (POSCAR):
```
TaZn2InN
1.0
-2.799 -0.054 -3.759
-1.368 -5.101 1.092
-3.566 1.521 2.634
N Zn In Ta
1 2 1 1
direct
0.500 0.500 0.500
0.500 0.000 0.000
0.000 0.000 0.500
0.000 0.000 0.000
0.000 0.500 0.000
```

***

Zr2TaInN | PBE-GGA | relaxed

The calculation puts the calculated density at 9.121 g/cm³. The total energy comes out at -8.692 eV/atom. The symmetry is P4/mmm, No. 123. The value obtained for the formation energy from raw total energies is -0.689 eV/atom. As for the total magnetization: 0.000 μB/atom.

Structure (POSCAR):
```
Zr2TaInN
1.0
4.670 0.000 0.000
0.000 4.670 0.000
0.000 0.000 4.109
Ta N Zr In
1 1 2 1
direct
0.000 0.000 0.500
0.000 0.000 0.000
0.000 0.500 0.000
0.500 0.000 0.000
0.500 0.500 0.500
```

***

Tb2InN | PBE-GGA | relaxed

The calculation puts the calculated density at 8.539 g/cm³. The total energy comes out at -6.093 eV/atom. The symmetry is R-3m, No. 166. The value obtained for the formation energy from raw total energies is -1.012 eV/atom. As for the total magnetization: 0.000 μB/atom.

Structure (POSCAR):
```
Tb2InN
1.0
3.554 0.000 0.000
1.777 3.078 0.000
1.777 1.026 7.939
In Tb N
1 2 1
direct
0.500 0.500 0.500
0.723 0.723 0.831
0.277 0.277 0.169
0.000 0.000 0.000
```

***

Tb3InN | PBE-GGA | relaxed

The calculation puts the calculated density at 8.813 g/cm³. The total energy comes out at -5.977 eV/atom. The symmetry is Pm-3m, No. 221. The value obtained for the formation energy from raw total energies is -0.986 eV/atom. As for the total magnetization: 0.000 μB/atom.

Structure (POSCAR):
```
Tb3InN
1.0
4.850 0.000 0.000
0.000 4.850 0.000
0.000 0.000 4.850
Tb In N
3 1 1
direct
0.000 0.500 0.500
0.500 0.000 0.500
0.500 0.500 0.000
0.000 0.000 0.000
0.500 0.500 0.500
```

***

Tb4In2N | PBE-GGA | relaxed

The calculation puts the calculated density at 8.035 g/cm³. The total energy comes out at -5.345 eV/atom. The symmetry is I4/mmm, No. 139. The value obtained for the formation energy from raw total energies is -0.728 eV/atom. As for the total magnetization: 0.000 μB/atom.

Structure (POSCAR):
```
Tb4In2N
1.0
-3.134 3.070 1.911
-3.553 -3.084 -0.873
-2.229 -3.310 7.650
Tb In N
4 2 1
direct
0.500 0.000 0.000
0.162 0.162 0.676
0.000 0.500 0.000
0.838 0.838 0.324
0.363 0.363 0.274
0.637 0.637 0.726
0.000 0.000 0.000
```

***

Tb3InN4 | PBE-GGA | relaxed

The calculation puts the calculated density at 9.103 g/cm³. The total energy comes out at -7.383 eV/atom. The symmetry is Pm-3m, No. 221. The value obtained for the formation energy from raw total energies is -1.142 eV/atom. As for the total magnetization: 0.000 μB/atom.

Structure (POSCAR):
```
Tb3InN4
1.0
4.907 0.000 0.000
0.000 4.907 0.000
0.000 0.000 4.907
In Tb N
1 3 4
direct
0.000 0.000 0.000
0.500 0.000 0.500
0.000 0.500 0.500
0.500 0.500 0.000
0.500 0.000 0.000
0.000 0.500 0.000
0.000 0.000 0.500
0.500 0.500 0.500
```

***

Tb2InN | PBE-GGA | relaxed

The calculation puts the calculated density at 9.509 g/cm³. The total energy comes out at -5.604 eV/atom. The symmetry is P4/mmm, No. 123. The value obtained for the formation energy from raw total energies is -0.523 eV/atom. As for the total magnetization: 0.000 μB/atom.

Structure (POSCAR):
```
Tb2InN
1.0
3.126 0.000 0.000
0.000 3.126 0.000
0.000 0.000 7.985
N Tb In
1 2 1
direct
0.500 0.500 0.000
0.000 0.000 0.819
0.000 0.000 0.181
0.500 0.500 0.500
```

***

TbTh2InN | PBE-GGA | relaxed

The calculation puts the calculated density at 10.188 g/cm³. The total energy comes out at -6.905 eV/atom. The symmetry is P4/mmm, No. 123. The value obtained for the formation energy from raw total energies is -0.798 eV/atom. As for the total magnetization: 0.000 μB/atom.

Structure (POSCAR):
```
TbTh2InN
1.0
-4.298 -2.489 -0.256
1.316 -1.817 -4.428
2.123 -3.894 2.229
Th N In Tb
2 1 1 1
direct
0.000 0.000 0.500
0.000 0.500 0.000
0.000 0.000 0.000
0.500 0.500 0.500
0.500 0.000 0.000
```

***

Tb4TlInN | PBE-GGA | relaxed

The calculation puts the calculated density at 8.864 g/cm³. The total energy comes out at -5.271 eV/atom. The symmetry is Cmcm, No. 63. The value obtained for the formation energy from raw total energies is -0.707 eV/atom. As for the total magnetization: 0.000 μB/atom.

Structure (POSCAR):
```
Tb4TlInN
1.0
-2.253 -6.378 -0.313
0.820 0.041 -6.725
8.527 0.532 1.043
Tb Tl N In
8 2 2 2
direct
0.087 0.750 0.174
0.913 0.250 0.826
0.000 0.000 0.500
0.412 0.750 0.824
0.000 0.500 0.500
0.588 0.250 0.176
0.500 0.500 0.500
0.500 0.000 0.500
0.888 0.750 0.776
0.112 0.250 0.224
0.750 0.250 0.499
0.250 0.750 0.501
0.387 0.250 0.774
0.613 0.750 0.226
```

***

What did the fifth record say?
Zr2TaInN | PBE-GGA | relaxed

The calculation puts the calculated density at 9.121 g/cm³. The total energy comes out at -8.692 eV/atom. The symmetry is P4/mmm, No. 123. The value obtained for the formation energy from raw total energies is -0.689 eV/atom. As for the total magnetization: 0.000 μB/atom.

Structure (POSCAR):
```
Zr2TaInN
1.0
4.670 0.000 0.000
0.000 4.670 0.000
0.000 0.000 4.109
Ta N Zr In
1 1 2 1
direct
0.000 0.000 0.500
0.000 0.000 0.000
0.000 0.500 0.000
0.500 0.000 0.000
0.500 0.500 0.500
```